[1]
Entry from Alexandria: a relaxed structure of Hf6ZnO (PBE).

Calculated values
The calculated total energy is -8.771 eV per atom. The formation energy from raw total energies is -0.526 eV per atom.

CIF file:
```
data_Hf6ZnO
_space_group_name_H-M_alt 'C 1 2/m 1'
_space_group_IT_number 12
_space_group_name_Hall '-C 2y'
_cell_length_a 6.427
_cell_length_b 8.990
_cell_length_c 5.541
_cell_angle_alpha 90.00
_cell_angle_beta 103.74
_cell_angle_gamma 90.00
loop_
_atom_site_label
_atom_site_type_symbol
_atom_site_fract_x
_atom_site_fract_y
_atom_site_fract_z
_atom_site_occupancy
Hf1 Hf 0.127 0.186 0.271 1
Hf2 Hf 0.224 0.500 0.157 1
Zn1 Zn 0.000 0.500 0.500 1
O1 O 0.000 0.000 0.000 1
```

***

[2]
Entry from Alexandria: a relaxed structure of LiNd2Si4Ir3 (PBE).

Calculated values
The calculated total energy is -6.863 eV per atom. The formation energy from raw total energies is -0.891 eV per atom.

CIF file:
```
data_LiNd2Si4Ir3
_space_group_name_H-M_alt 'P -4 m 2'
_space_group_IT_number 115
_space_group_name_Hall 'P -4 -2'
_cell_length_a 4.237
_cell_length_b 4.237
_cell_length_c 9.799
_cell_angle_alpha 90.00
_cell_angle_beta 90.00
_cell_angle_gamma 90.00
loop_
_atom_site_label
_atom_site_type_symbol
_atom_site_fract_x
_atom_site_fract_y
_atom_site_fract_z
_atom_site_occupancy
Li1 Li 0.000 0.000 0.000 1
Nd1 Nd 0.000 0.500 0.746 1
Si1 Si 0.000 0.000 0.500 1
Si2 Si 0.000 0.500 0.130 1
Si3 Si 0.500 0.500 0.500 1
Ir1 Ir 0.000 0.500 0.376 1
Ir2 Ir 0.500 0.500 0.000 1
```

***

Which of these has the highest formation energy from raw total energies? Hf6ZnO